CuRe2Cl, optimized geometry, DFT PBEsol; polymorph energy (0 for the lowest one) = 0.059 eV/atom; energy relative to the elements, uncorrected = 958 meV per atom; uncorrected energy = -7.294 eV/atom
1.0
2.701 0.000 0.000
0.000 4.531 0.000
0.000 0.000 4.744
Cu Re Cl
1 2 1
Direct
0.000 0.000 0.000
0.000 0.500 0.500
0.500 0.500 0.000
0.500 0.000 0.500


CuReCl2, optimized geometry, DFT PBEsol; polymorph energy (0 for the lowest one) = 0.000 eV/atom; energy relative to the elements, uncorrected = 224 meV per atom; uncorrected energy = -5.197 eV/atom
1.0
-1.418 2.210 6.293
1.418 -2.210 6.293
1.418 2.210 -6.293
Cu Re Cl
1 1 2
Direct
0.000 0.000 0.000
0.500 0.500 0.000
0.348 0.848 0.500
0.652 0.152 0.500


CuRe2Cl, optimized geometry, DFT PBEsol; polymorph energy (0 for the lowest one) = 0.000 eV/atom; energy relative to the elements, uncorrected = 898 meV per atom; uncorrected energy = -7.353 eV/atom
1.0
2.969 0.000 0.000
0.000 4.420 0.000
-0.523 0.000 4.657
Cu Re Cl
1 2 1
Direct
0.000 0.000 0.000
0.321 0.500 0.213
0.679 0.500 0.787
0.500 0.000 0.500


CuReCl2, optimized geometry, DFT PBEsol; polymorph energy (0 for the lowest one) = 0.743 eV/atom; energy relative to the elements, uncorrected = 967 meV per atom; uncorrected energy = -4.453 eV/atom
1.0
-2.134 2.134 3.082
2.134 -2.134 3.082
2.134 2.134 -3.082
Cu Re Cl
1 1 2
Direct
0.000 0.000 0.000
0.500 0.500 0.000
0.250 0.750 0.500
0.750 0.250 0.500


CuReCl3, optimized geometry, DFT PBEsol; energy relative to the elements, uncorrected = 576 meV per atom; uncorrected energy = -4.162 eV/atom
1.0
4.706 0.000 0.000
0.000 4.706 0.000
0.000 0.000 4.706
Cu Re Cl
1 1 3
Direct
0.000 0.000 0.000
0.500 0.500 0.500
0.000 0.500 0.500
0.500 0.000 0.500
0.500 0.500 0.000


CuRe2Cl, optimized geometry, DFT PBEsol; polymorph energy (0 for the lowest one) = 0.248 eV/atom; energy relative to the elements, uncorrected = 1147 meV per atom; uncorrected energy = -7.105 eV/atom
1.0
4.315 0.000 0.000
0.000 4.315 0.000
0.000 0.000 2.860
Cu Re Cl
1 2 1
Direct
0.000 0.000 0.000
0.000 0.500 0.500
0.500 0.000 0.500
0.500 0.500 0.000